# 1
SmBiPt5 (PBE-GGA, optimized geometry); crystal system = orthorhombic; DFT formation energy = -528 meV per atom; total moment = 0.00 μB per formula unit
1.0
8.938 0.000 0.000
0.000 5.553 0.000
0.000 0.000 11.083
Sm Bi Pt
4 4 20
direct
0.240 0.250 0.049
0.260 0.750 0.549
0.740 0.250 0.451
0.760 0.750 0.951
0.135 0.250 0.353
0.365 0.750 0.853
0.635 0.250 0.147
0.865 0.750 0.647
0.080 0.503 0.813
0.080 0.997 0.813
0.090 0.250 0.593
0.092 0.750 0.025
0.165 0.750 0.269
0.335 0.250 0.769
0.408 0.250 0.525
0.410 0.750 0.093
0.420 0.003 0.313
0.420 0.497 0.313
0.580 0.503 0.687
0.580 0.997 0.687
0.590 0.250 0.907
0.592 0.750 0.475
0.665 0.750 0.231
0.835 0.250 0.731
0.908 0.250 0.975
0.910 0.750 0.407
0.920 0.003 0.187
0.920 0.497 0.187

# 2
Pm2Dy15Er2 (PBE-GGA, optimized geometry); crystal system = trigonal; DFT formation energy = 300 meV per atom; total moment = 0.00 μB per formula unit
1.0
5.542 3.200 5.913
-5.542 3.200 5.913
0.000 -6.399 5.913
Pm Dy Er
2 15 2
direct
0.094 0.094 0.094
0.906 0.906 0.906
0.000 0.000 0.500
0.000 0.302 0.698
0.000 0.500 0.000
0.000 0.698 0.302
0.151 0.626 0.626
0.302 0.000 0.698
0.302 0.698 0.000
0.374 0.374 0.849
0.374 0.849 0.374
0.500 0.000 0.000
0.626 0.151 0.626
0.626 0.626 0.151
0.698 0.000 0.302
0.698 0.302 0.000
0.849 0.374 0.374
0.321 0.321 0.321
0.679 0.679 0.679

# 3
CaMo3 (PBE-GGA, optimized geometry); crystal system = orthorhombic; DFT formation energy = 799 meV per atom; total moment = 0.00 μB per formula unit; excess energy over the best structure of this formula in the dataset = 0.326 eV per atom
1.0
3.757 -4.733 0.000
3.757 4.733 0.000
0.000 0.000 4.444
Ca Mo
2 6
direct
0.081 0.919 0.750
0.919 0.081 0.250
0.133 0.548 0.250
0.409 0.591 0.750
0.452 0.867 0.250
0.548 0.133 0.750
0.591 0.409 0.250
0.867 0.452 0.750

# 4
Na3Dy2PdO6 (PBE-GGA, optimized geometry); crystal system = monoclinic; E_form (uncorrected) = -2109.0 meV per atom; total moment = 1.00 μB per formula unit
1.0
2.870 -5.007 0.000
2.870 5.007 0.000
-1.819 0.000 5.589
Na Dy Pd O
3 2 1 6
direct
0.000 0.000 0.000
0.341 0.659 0.000
0.659 0.341 0.000
0.170 0.830 0.500
0.830 0.170 0.500
0.500 0.500 0.500
0.091 0.425 0.276
0.256 0.256 0.702
0.425 0.091 0.276
0.575 0.909 0.724
0.744 0.744 0.298
0.909 0.575 0.724

Which value of total moment does entry 1 give? 0.00 μB per formula unit

What is the total moment in the second record? 0.00 μB per formula unit

Copy entry 3 word for word.
CaMo3 (PBE-GGA, optimized geometry); crystal system = orthorhombic; DFT formation energy = 799 meV per atom; total moment = 0.00 μB per formula unit; excess energy over the best structure of this formula in the dataset = 0.326 eV per atom
1.0
3.757 -4.733 0.000
3.757 4.733 0.000
0.000 0.000 4.444
Ca Mo
2 6
direct
0.081 0.919 0.750
0.919 0.081 0.250
0.133 0.548 0.250
0.409 0.591 0.750
0.452 0.867 0.250
0.548 0.133 0.750
0.591 0.409 0.250
0.867 0.452 0.750